Computed, not measured: crystalline TiMoPO2 at its relaxed geometry at the PBE with a Hubbard U level of DFT.

Cell lengths 3.8412, 3.8412, 5.3792 Å; angles 90.00, 90.00, 90.00 degrees
With the nearest neighbours (Å) after each atom.
Fractional positions:
Ti: 0.0000 0.0000 0.0000  4 P 2.72
Mo: 0.5000 0.5000 0.5000  4 O 1.92
P: 0.5000 0.5000 0.0000  2 Mo 2.69, 4 Ti 2.72
O: 0.0000 0.5000 0.5000  2 Mo 1.92
O: 0.5000 0.0000 0.5000  2 Mo 1.92

* density of states at the Fermi level: 5.63 states/eV/cell
* E: -6.816 eV per atom
* spin magnetization: 2.97 μB per formula unit